## one
VASP calculation (PBE-GGA) on crystalline RbGa3Os at its relaxed geometry.

The space group is Pnma (62). The value obtained for the total magnetization is 0.0 Bohr magnetons per cell.

Cell: 5.995 17.026 4.921 Å, 90.00 90.00 90.00°
Fractional coordinates of all 20 atoms:
Os (0.790, 0.250, 0.357)
Os (0.710, 0.750, 0.857)
Os (0.210, 0.750, 0.643)
Os (0.290, 0.250, 0.143)
Ga (0.006, 0.851, 0.949)
Ga (0.494, 0.351, 0.449)
Ga (0.494, 0.149, 0.449)
Ga (0.994, 0.351, 0.051)
Ga (0.994, 0.149, 0.051)
Ga (0.506, 0.649, 0.551)
Ga (0.506, 0.851, 0.551)
Ga (0.006, 0.649, 0.949)
Ga (0.644, 0.250, 0.859)
Ga (0.856, 0.750, 0.359)
Ga (0.356, 0.750, 0.141)
Ga (0.144, 0.250, 0.641)
Rb (0.000, 0.000, 0.500)
Rb (0.500, 0.500, 0.000)
Rb (0.500, 0.000, 0.000)
Rb (0.000, 0.500, 0.500)

***

## two
VASP calculation (PBE-GGA) on crystalline RbGa3Os at its relaxed geometry.

The space group is R-3m (166). The value obtained for the total magnetization is 0.0 Bohr magnetons per cell.

Cell: 6.823 6.823 6.823 Å, 60.51 60.51 60.51°
Fractional coordinates of all 10 atoms:
Os (0.304, 0.304, 0.304)
Os (0.696, 0.696, 0.696)
Ga (0.563, 0.140, 0.563)
Ga (0.140, 0.563, 0.563)
Ga (0.437, 0.437, 0.860)
Ga (0.860, 0.437, 0.437)
Ga (0.437, 0.860, 0.437)
Ga (0.563, 0.563, 0.140)
Rb (0.093, 0.093, 0.093)
Rb (0.907, 0.907, 0.907)

***

The computed energies, referenced to the most stable structure and given in eV/atom, are one 0.000; two 0.015.

***

## one
VASP calculation (PBE-GGA) on crystalline RbGa3Os at its relaxed geometry.

The space group is P1 (1). The value obtained for the total magnetization is 0.0 Bohr magnetons per cell.

Cell: 6.779 6.639 7.357 Å, 84.73 116.61 61.96°
Fractional coordinates of all 10 atoms:
Os (0.632, 0.824, 0.259)
Os (0.966, 0.612, 0.038)
Rb (0.119, 0.077, 0.663)
Rb (0.475, 0.360, 0.633)
Ga (0.896, 0.952, 0.197)
Ga (0.299, 0.718, 0.149)
Ga (0.185, 0.140, 0.205)
Ga (0.701, 0.485, 0.099)
Ga (0.413, 0.296, 0.092)
Ga (0.798, 0.718, 0.648)

***

## two
VASP calculation (PBE-GGA) on crystalline RbGa3Os at its relaxed geometry.

The space group is C2/m (12). The value obtained for the total magnetization is 0.0 Bohr magnetons per cell.

Cell: 17.073 7.066 7.066 Å, 138.84 146.35 33.65°
Fractional coordinates of all 10 atoms:
Os (0.937, 0.910, 0.090)
Os (0.063, 0.090, 0.910)
Ga (0.847, 0.203, 0.797)
Ga (0.153, 0.797, 0.203)
Ga (0.921, 0.429, 0.571)
Ga (0.079, 0.571, 0.429)
Ga (0.370, 0.704, 0.296)
Ga (0.630, 0.296, 0.704)
Rb (0.612, 0.051, 0.949)
Rb (0.388, 0.949, 0.051)

***

The computed energies, referenced to the most stable structure and given in eV/atom, are one 0.000; two 0.135.

***

## one
VASP calculation (PBE-GGA) on crystalline RbGa3Os at its relaxed geometry.

The space group is C2/c (15). The value obtained for the total magnetization is 0.0 Bohr magnetons per cell.

Cell: 13.226 8.635 8.635 Å, 107.19 135.08 44.92°
Fractional coordinates of all 20 atoms:
Os (0.332, 0.092, 0.571)
Os (0.168, 0.071, 0.592)
Os (0.668, 0.908, 0.429)
Os (0.832, 0.929, 0.408)
Ga (0.436, 0.220, 0.493)
Ga (0.064, 0.993, 0.720)
Ga (0.564, 0.780, 0.507)
Ga (0.936, 0.007, 0.280)
Ga (0.133, 0.249, 0.109)
Ga (0.367, 0.609, 0.749)
Ga (0.867, 0.751, 0.891)
Ga (0.633, 0.391, 0.251)
Ga (0.624, 0.025, 0.974)
Ga (0.876, 0.474, 0.525)
Ga (0.376, 0.975, 0.026)
Ga (0.124, 0.526, 0.475)
Rb (0.750, 0.251, 0.751)
Rb (0.250, 0.749, 0.249)
Rb (0.750, 0.558, 0.058)
Rb (0.250, 0.442, 0.942)

***

## two
VASP calculation (PBE-GGA) on crystalline RbGa3Os at its relaxed geometry.

The space group is Cm (8). The value obtained for the total magnetization is 0.0 Bohr magnetons per cell.

Cell: 6.681 7.682 6.557 Å, 70.65 59.37 64.20°
Fractional coordinates of all 10 atoms:
Os (0.498, 0.041, 0.821)
Os (0.757, 0.893, 0.452)
Rb (0.539, 0.481, 0.299)
Rb (0.980, 0.267, 0.631)
Ga (0.929, 0.762, 0.754)
Ga (0.271, 0.357, 0.959)
Ga (0.594, 0.991, 0.155)
Ga (0.414, 0.762, 0.754)
Ga (0.119, 0.991, 0.155)
Ga (0.035, 0.660, 0.128)

***

The computed energies, referenced to the most stable structure and given in eV/atom, are one 0.228; two 0.000.

***

## one
VASP calculation (PBE-GGA) on crystalline RbGa3Os at its relaxed geometry.

The space group is P4mm (99). The value obtained for the total magnetization is 0.0 Bohr magnetons per cell.

Cell: 3.672 3.672 8.752 Å, 90.00 90.00 90.00°
Fractional coordinates of all 5 atoms:
Os (0.500, 0.500, 0.651)
Ga (0.000, 0.000, 0.697)
Ga (0.500, 0.000, 0.424)
Ga (0.000, 0.500, 0.424)
Rb (0.000, 0.000, 0.068)

***

## two
VASP calculation (PBE-GGA) on crystalline RbGa3Os at its relaxed geometry.

The space group is Pm-3m (221). The value obtained for the total magnetization is 0.0 Bohr magnetons per cell.

Cell: 4.923 4.923 4.923 Å, 90.00 90.00 90.00°
Fractional coordinates of all 5 atoms:
Os (0.000, 0.000, 0.000)
Ga (0.000, 0.500, 0.000)
Ga (0.000, 0.000, 0.500)
Ga (0.500, 0.000, 0.000)
Rb (0.500, 0.500, 0.500)

***

## three
VASP calculation (PBE-GGA) on crystalline RbGa3Os at its relaxed geometry.

The space group is Pm-3m (221). The value obtained for the total magnetization is 2.1 Bohr magnetons per cell.

Cell: 5.566 5.566 5.566 Å, 90.00 90.00 90.00°
Fractional coordinates of all 5 atoms:
Os (0.500, 0.500, 0.500)
Ga (0.000, 0.500, 0.000)
Ga (0.000, 0.000, 0.500)
Ga (0.500, 0.000, 0.000)
Rb (0.000, 0.000, 0.000)

***

## four
VASP calculation (PBE-GGA) on crystalline RbGa3Os at its relaxed geometry.

The space group is P6_3/mmc (194). The value obtained for the total magnetization is 0.0 Bohr magnetons per cell.

Cell: 4.779 4.779 10.165 Å, 90.00 90.00 120.00°
Fractional coordinates of all 10 atoms:
Os (0.000, 0.000, 0.000)
Os (0.000, 0.000, 0.500)
Ga (0.000, 0.000, 0.250)
Ga (0.000, 0.000, 0.750)
Ga (0.333, 0.667, 0.053)
Ga (0.333, 0.667, 0.447)
Ga (0.667, 0.333, 0.553)
Ga (0.667, 0.333, 0.947)
Rb (0.333, 0.667, 0.750)
Rb (0.667, 0.333, 0.250)

***

The computed energies, referenced to the most stable structure and given in eV/atom, are one 0.448; two 0.000; three 2.546; four 0.554.

***

## one
VASP calculation (PBE-GGA) on crystalline Rb2Ga2Os at its relaxed geometry.

The space group is I4/mmm (139). The value obtained for the total magnetization is 0.0 Bohr magnetons per cell.

Cell: 3.991 3.991 8.256 Å, 76.01 76.01 90.00°
Fractional coordinates of all 5 atoms:
Os (0.000, 0.000, 0.000)
Ga (0.421, 0.421, 0.157)
Ga (0.579, 0.579, 0.843)
Rb (0.750, 0.250, 0.500)
Rb (0.250, 0.750, 0.500)

***

## two
VASP calculation (PBE-GGA) on crystalline Rb2Ga2Os at its relaxed geometry.

The space group is P4/mbm (127). The value obtained for the total magnetization is 0.0 Bohr magnetons per cell.

Cell: 6.920 6.920 6.310 Å, 90.00 90.00 90.00°
Fractional coordinates of all 10 atoms:
Os (0.000, 0.000, 0.000)
Os (0.500, 0.500, 0.000)
Ga (0.276, 0.776, 0.000)
Ga (0.776, 0.724, 0.000)
Ga (0.724, 0.224, 0.000)
Ga (0.224, 0.276, 0.000)
Rb (0.174, 0.674, 0.500)
Rb (0.674, 0.826, 0.500)
Rb (0.826, 0.326, 0.500)
Rb (0.326, 0.174, 0.500)

***

The computed energies, referenced to the most stable structure and given in eV/atom, are one 0.942; two 0.000.

***

## one
VASP calculation (PBE-GGA) on crystalline Rb2GaOs2 at its relaxed geometry.

The space group is I4/mmm (139). The value obtained for the total magnetization is 4.5 Bohr magnetons per cell.

Cell: 4.743 4.743 7.995 Å, 72.74 72.74 90.00°
Fractional coordinates of all 5 atoms:
Os (0.423, 0.423, 0.154)
Os (0.577, 0.577, 0.846)
Ga (0.000, 0.000, 0.000)
Rb (0.750, 0.250, 0.500)
Rb (0.250, 0.750, 0.500)

***

## two
VASP calculation (PBE-GGA) on crystalline Rb2GaOs2 at its relaxed geometry.

The space group is P4/mbm (127). The value obtained for the total magnetization is 0.0 Bohr magnetons per cell.

Cell: 6.440 6.440 6.031 Å, 90.00 90.00 90.00°
Fractional coordinates of all 10 atoms:
Os (0.372, 0.872, 0.000)
Os (0.872, 0.628, 0.000)
Os (0.628, 0.128, 0.000)
Os (0.128, 0.372, 0.000)
Ga (0.000, 0.000, 0.000)
Ga (0.500, 0.500, 0.000)
Rb (0.180, 0.680, 0.500)
Rb (0.680, 0.820, 0.500)
Rb (0.820, 0.320, 0.500)
Rb (0.320, 0.180, 0.500)

***

The computed energies, referenced to the most stable structure and given in eV/atom, are one 1.047; two 0.000.

***

## one
VASP calculation (PBE-GGA) on crystalline RbTlGa2Os at its relaxed geometry.

The space group is P4/mmm (123). The value obtained for the total magnetization is 1.4 Bohr magnetons per cell.

Cell: 5.553 5.553 5.316 Å, 90.00 90.00 90.00°
Fractional coordinates of all 5 atoms:
Tl (0.000, 0.000, 0.000)
Os (0.000, 0.000, 0.500)
Ga (0.000, 0.500, 0.000)
Ga (0.500, 0.000, 0.000)
Rb (0.500, 0.500, 0.500)

***

## two
VASP calculation (PBE-GGA) on crystalline RbTlGa2Os at its relaxed geometry.

The space group is P4/mmm (123). The value obtained for the total magnetization is 0.0 Bohr magnetons per cell.

Cell: 4.951 4.951 5.346 Å, 90.00 90.00 90.00°
Fractional coordinates of all 5 atoms:
Tl (0.000, 0.000, 0.500)
Os (0.000, 0.000, 0.000)
Ga (0.000, 0.500, 0.000)
Ga (0.500, 0.000, 0.000)
Rb (0.500, 0.500, 0.500)

***

The computed energies, referenced to the most stable structure and given in eV/atom, are one 1.269; two 0.000.

***

## one
VASP calculation (PBE-GGA) on crystalline GaRe3Os at its relaxed geometry.

The space group is Pm-3m (221). The value obtained for the total magnetization is 2.3 Bohr magnetons per cell.

Cell: 4.743 4.743 4.743 Å, 90.00 90.00 90.00°
Fractional coordinates of all 5 atoms:
Re (0.000, 0.500, 0.000)
Re (0.000, 0.000, 0.500)
Re (0.500, 0.000, 0.000)
Os (0.000, 0.000, 0.000)
Ga (0.500, 0.500, 0.500)

***

## two
VASP calculation (PBE-GGA) on crystalline GaRe3Os at its relaxed geometry.

The space group is Pm-3m (221). The value obtained for the total magnetization is 0.0 Bohr magnetons per cell.

Cell: 4.424 4.424 4.424 Å, 90.00 90.00 90.00°
Fractional coordinates of all 5 atoms:
Re (0.000, 0.500, 0.000)
Re (0.000, 0.000, 0.500)
Re (0.500, 0.000, 0.000)
Os (0.500, 0.500, 0.500)
Ga (0.000, 0.000, 0.000)

***

The computed energies, referenced to the most stable structure and given in eV/atom, are one 0.080; two 0.000.

***

## one
VASP calculation (PBE-GGA) on crystalline Ga2ReOs at its relaxed geometry.

The space group is I-42d (122). The value obtained for the total magnetization is 1.4 Bohr magnetons per cell.

Cell: 7.021 7.021 5.618 Å, 51.32 51.32 90.00°
Fractional coordinates of all 8 atoms:
Re (0.500, 0.500, 0.000)
Re (0.250, 0.750, 0.500)
Os (0.000, 0.000, 0.000)
Os (0.750, 0.250, 0.500)
Ga (0.633, 0.125, 0.250)
Ga (0.117, 0.625, 0.250)
Ga (0.375, 0.367, 0.750)
Ga (0.875, 0.883, 0.750)

***

## two
VASP calculation (PBE-GGA) on crystalline Ga2ReOs at its relaxed geometry.

The space group is Fm-3m (225). The value obtained for the total magnetization is 0.0 Bohr magnetons per cell.

Cell: 4.332 4.332 4.332 Å, 60.00 60.00 60.00°
Fractional coordinates of all 4 atoms:
Re (0.000, 0.000, 0.000)
Os (0.500, 0.500, 0.500)
Ga (0.250, 0.250, 0.250)
Ga (0.750, 0.750, 0.750)

***

The computed energies, referenced to the most stable structure and given in eV/atom, are one 0.545; two 0.000.

***

## one
VASP calculation (PBE-GGA) on crystalline GaOsRh3 at its relaxed geometry.

The space group is Pm-3m (221). The value obtained for the total magnetization is 4.4 Bohr magnetons per cell.

Cell: 4.460 4.460 4.460 Å, 90.00 90.00 90.00°
Fractional coordinates of all 5 atoms:
Rh (0.000, 0.500, 0.000)
Rh (0.000, 0.000, 0.500)
Rh (0.500, 0.000, 0.000)
Os (0.500, 0.500, 0.500)
Ga (0.000, 0.000, 0.000)

***

## two
VASP calculation (PBE-GGA) on crystalline GaOsRh3 at its relaxed geometry.

The space group is Pm-3m (221). The value obtained for the total magnetization is 0.0 Bohr magnetons per cell.

Cell: 4.723 4.723 4.723 Å, 90.00 90.00 90.00°
Fractional coordinates of all 5 atoms:
Rh (0.000, 0.500, 0.000)
Rh (0.000, 0.000, 0.500)
Rh (0.500, 0.000, 0.000)
Os (0.000, 0.000, 0.000)
Ga (0.500, 0.500, 0.500)

***

The computed energies, referenced to the most stable structure and given in eV/atom, are one 0.100; two 0.000.

***

## one
VASP calculation (PBE-GGA) on crystalline GaOs3Ru at its relaxed geometry.

The space group is Pm-3m (221). The value obtained for the total magnetization is 0.0 Bohr magnetons per cell.

Cell: 4.750 4.750 4.750 Å, 90.00 90.00 90.00°
Fractional coordinates of all 5 atoms:
Ru (0.000, 0.000, 0.000)
Os (0.000, 0.500, 0.000)
Os (0.000, 0.000, 0.500)
Os (0.500, 0.000, 0.000)
Ga (0.500, 0.500, 0.500)

***

## two
VASP calculation (PBE-GGA) on crystalline GaOs3Ru at its relaxed geometry.

The space group is Pm-3m (221). The value obtained for the total magnetization is 0.0 Bohr magnetons per cell.

Cell: 4.444 4.444 4.444 Å, 90.00 90.00 90.00°
Fractional coordinates of all 5 atoms:
Ru (0.500, 0.500, 0.500)
Os (0.000, 0.500, 0.000)
Os (0.000, 0.000, 0.500)
Os (0.500, 0.000, 0.000)
Ga (0.000, 0.000, 0.000)

***

The computed energies, referenced to the most stable structure and given in eV/atom, are one 0.170; two 0.000.